Record 1
Crystalline In2HgI at its relaxed geometry, computed with PBE.

formation energy (no corrections): -0.01 eV/atom
excess energy over the best structure of this formula in the dataset: 129 meV per atom

a = 7.140 Å, b = 7.140 Å, c = 13.945 Å
α = 90.00°, β = 90.00°, γ = 90.00°
Space group I-42d (No. 122)
Inequivalent atoms, fractional coordinates:
In 0.207 0.250 0.125
Hg 0.000 0.000 0.000
I 0.000 0.000 0.500


Record 2
Crystalline CaPrNdHo at its relaxed geometry, computed with PBE.

excess energy over the best structure of this formula in the dataset: 72 meV per atom

a = 8.282 Å, b = 8.282 Å, c = 8.282 Å
α = 90.00°, β = 90.00°, γ = 90.00°
Space group F-43m (No. 216)
Inequivalent atoms, fractional coordinates:
Ca 0.000 0.000 0.000
Pr 0.250 0.250 0.750
Nd 0.250 0.250 0.250
Ho 0.000 0.000 0.500


Record 3
Crystalline MnMoCl at its relaxed geometry, computed with PBE.

formation energy (no corrections): 0.31 eV/atom
excess energy over the best structure of this formula in the dataset: 82 meV per atom

a = 3.142 Å, b = 5.026 Å, c = 12.346 Å
α = 90.00°, β = 90.00°, γ = 90.00°
Space group Fmm2 (No. 42)
Inequivalent atoms, fractional coordinates:
Mn 0.000 0.000 0.000
Mo 0.000 0.000 0.651
Cl 0.000 0.000 0.338


Record 4
Crystalline MgSbOs at its relaxed geometry, computed with PBE.

formation energy (no corrections): 0.16 eV/atom

a = 3.245 Å, b = 3.789 Å, c = 8.660 Å
α = 90.00°, β = 90.00°, γ = 90.00°
Space group Imm2 (No. 44)
Inequivalent atoms, fractional coordinates:
Mg 0.000 0.000 0.000
Sb 0.000 0.000 0.318
Os 0.000 0.000 0.671


Record 5
Crystalline ThPdAu at its relaxed geometry, computed with PBE.

excess energy over the best structure of this formula in the dataset: 0 meV per atom

a = 3.770 Å, b = 17.622 Å, c = 4.083 Å
α = 90.00°, β = 90.00°, γ = 90.00°
Space group Cmcm (No. 63)
Inequivalent atoms, fractional coordinates:
Th 0.000 0.113 0.250
Pd 0.000 0.449 0.250
Au 0.000 0.289 0.250


Record 6
Crystalline Ba2InP at its relaxed geometry, computed with PBE.

excess energy over the best structure of this formula in the dataset: 170 meV per atom

a = 5.308 Å, b = 5.308 Å, c = 9.562 Å
α = 90.00°, β = 90.00°, γ = 90.00°
Space group I4/mmm (No. 139)
Inequivalent atoms, fractional coordinates:
Ba 0.000 0.500 0.250
In 0.000 0.000 0.000
P 0.000 0.000 0.500


Record 7
Crystalline Nd2HoAl3 at its relaxed geometry, computed with PBE.

excess energy over the best structure of this formula in the dataset: 2 meV per atom

a = 5.194 Å, b = 7.381 Å, c = 8.220 Å
α = 90.00°, β = 108.36°, γ = 90.00°
Space group P2/m (No. 10)
Inequivalent atoms, fractional coordinates:
Nd 0.000 0.000 0.000
Nd 0.000 0.500 0.000
Nd 0.336 0.000 0.672
Ho 0.333 0.500 0.665
Al 0.170 0.261 0.340
Al 0.500 0.261 0.000


Record 8
Crystalline Pu4ZnGe2 at its relaxed geometry, computed with PBE.

E_tot: -9.70 eV/atom

a = 5.573 Å, b = 5.573 Å, c = 11.318 Å
α = 90.00°, β = 90.00°, γ = 90.00°
Space group I4/mmm (No. 139)
Inequivalent atoms, fractional coordinates:
Pu 0.000 0.500 0.000
Pu 0.000 0.500 0.250
Zn 0.000 0.000 0.000
Ge 0.000 0.000 0.379


| no. | D(E_F) (states/eV/f.u.) |
| --- | --- |
| 1 | 2.693 |
| 2 | 6.605 |
| 3 | 1.810 |
| 4 | 1.097 |
| 5 | 1.799 |
| 6 | 2.509 |
| 7 | 2.229 |
| 8 | 22.470 |